Record 1
## ScPIrO (GGA-PBE)

Data for a relaxed ScPIrO crystal.

```
data_ScPIrO
_cell_length_a 3.8874
_cell_length_b 3.8874
_cell_length_c 7.5440
_cell_angle_alpha 90.00
_cell_angle_beta 90.00
_cell_angle_gamma 90.00
_space_group_name_H-M_alt 'P 4/n m m'
_space_group_IT_number 129
loop_
_space_group_symop_operation_xyz
'x,y,z'
'-x,-y,-z'
'-y+1/2,x,z'
'y+1/2,-x,-z'
'-x+1/2,-y+1/2,z'
'x+1/2,y+1/2,-z'
'y,-x+1/2,z'
'-y,x+1/2,-z'
'x+1/2,-y,-z'
'-x+1/2,y,z'
'-y,-x,-z'
'y,x,z'
'-x,y+1/2,-z'
'x,-y+1/2,z'
'y+1/2,x+1/2,-z'
'-y+1/2,-x+1/2,z'
loop_
_atom_site_label
_atom_site_type_symbol
_atom_site_fract_x
_atom_site_fract_y
_atom_site_fract_z
Sc1 Sc 0.2500 0.2500 0.1185
P1 P 0.2500 0.2500 0.6762
Ir1 Ir 0.2500 0.7500 0.5000
O1 O 0.2500 0.7500 0.0000
```

excess energy over the best structure of this formula in the dataset: 0 meV/atom

=====

Record 2
## ScPIrO (GGA-PBE)

Data for a relaxed ScPIrO crystal.

```
data_ScPIrO
_cell_length_a 4.5319
_cell_length_b 4.3404
_cell_length_c 5.7675
_cell_angle_alpha 90.00
_cell_angle_beta 90.00
_cell_angle_gamma 90.00
_space_group_name_H-M_alt 'P m c 21'
_space_group_IT_number 26
loop_
_space_group_symop_operation_xyz
'x,y,z'
'-x,-y,z+1/2'
'-x,y,z'
'x,-y,z+1/2'
loop_
_atom_site_label
_atom_site_type_symbol
_atom_site_fract_x
_atom_site_fract_y
_atom_site_fract_z
Sc1 Sc 0.0000 0.2188 0.0000
P1 P 0.5000 0.1400 0.7054
Ir1 Ir 0.5000 0.3599 0.3438
O1 O 0.0000 0.3407 0.3460
```

excess energy over the best structure of this formula in the dataset: 501 meV/atom

=====

Record 3
## ScPIrO (GGA-PBE)

Data for a relaxed ScPIrO crystal.

```
data_ScPIrO
_cell_length_a 3.1595
_cell_length_b 7.4789
_cell_length_c 5.1360
_cell_angle_alpha 90.00
_cell_angle_beta 90.00
_cell_angle_gamma 90.00
_space_group_name_H-M_alt 'P m c 21'
_space_group_IT_number 26
loop_
_space_group_symop_operation_xyz
'x,y,z'
'-x,-y,z+1/2'
'-x,y,z'
'x,-y,z+1/2'
loop_
_atom_site_label
_atom_site_type_symbol
_atom_site_fract_x
_atom_site_fract_y
_atom_site_fract_z
Sc1 Sc 0.0000 0.2154 0.0000
P1 P 0.0000 0.4297 0.4928
Ir1 Ir 0.5000 0.2150 0.4847
O1 O 0.5000 0.0647 0.9163
```

excess energy over the best structure of this formula in the dataset: 493 meV/atom

=====

Record 4
## SiPIrO (GGA-PBE)

Data for a relaxed SiPIrO crystal.

```
data_SiPIrO
_cell_length_a 3.4461
_cell_length_b 7.6169
_cell_length_c 4.5892
_cell_angle_alpha 90.00
_cell_angle_beta 90.00
_cell_angle_gamma 90.00
_space_group_name_H-M_alt 'P m c 21'
_space_group_IT_number 26
loop_
_space_group_symop_operation_xyz
'x,y,z'
'-x,-y,z+1/2'
'-x,y,z'
'x,-y,z+1/2'
loop_
_atom_site_label
_atom_site_type_symbol
_atom_site_fract_x
_atom_site_fract_y
_atom_site_fract_z
Si1 Si 0.0000 0.1360 0.0000
P1 P 0.5000 0.3087 0.8824
Ir1 Ir 0.5000 0.3938 0.3922
O1 O 0.0000 0.0576 0.3341
```

excess energy over the best structure of this formula in the dataset: 0 meV/atom

=====

Q: Which final energy values were calculated for the entries above? A: -8.183 -7.681 -7.690 -6.886, in eV per atom.